No. 1
A plane-wave DFT calculation with PBE was carried out for BaLaNd4Se8 after structural relaxation.

Calculated values
* raw total energy: -5.661 eV per atom
* magnetization: 0.000 μB per formula unit

```
14
Lattice="4.422 2.553 7.307 -4.422 2.553 7.307 0.000 -5.106 7.307" Properties=species:S:1:pos:R:3 pbc="T T T"
Ba 0.000 0.000 0.000
La 0.000 0.000 13.750
Nd -2.237 -1.291 10.057
Nd 0.000 0.000 5.512
Nd 2.237 -1.291 10.057
Nd 0.000 2.583 10.057
Se 0.000 -2.417 11.820
Se -2.093 1.208 11.820
Se 0.000 0.000 8.402
Se -1.945 -1.123 15.687
Se 2.093 1.208 11.820
Se 0.000 0.000 18.859
Se 1.945 -1.123 15.687
Se 0.000 2.246 15.687
```

***

No. 2
A plane-wave DFT calculation with PBE was carried out for Ba3La2NdTe6 after structural relaxation.

Calculated values
* raw total energy: -4.904 eV per atom
* magnetization: 0.000 μB per formula unit

```
12
Lattice="4.081 -7.060 0.000 4.081 7.060 0.000 -2.719 0.000 7.922" Properties=species:S:1:pos:R:3 pbc="T T T"
Ba 0.000 0.000 0.000
Ba 4.081 2.368 0.000
Ba 4.081 -2.368 0.000
La 2.721 4.710 3.961
La 2.721 -4.710 3.961
Nd 2.721 0.000 3.961
Te 1.372 2.335 2.166
Te 0.024 0.000 5.768
Te 1.372 -2.335 2.166
Te 4.070 2.335 5.756
Te 5.418 0.000 2.154
Te 4.070 -2.335 5.756
```

***

No. 3
A plane-wave DFT calculation with PBE was carried out for BaLa3Nd2Te6 after structural relaxation.

Calculated values
* raw total energy: -5.300 eV per atom
* magnetization: 0.000 μB per formula unit

```
12
Lattice="10.040 -2.299 0.000 10.040 2.299 0.000 -2.127 0.000 9.030" Properties=species:S:1:pos:R:3 pbc="T T T"
Ba 0.000 0.000 0.000
La -1.063 0.000 4.515
La 6.388 0.000 1.563
La 11.565 0.000 7.467
Nd 5.216 0.000 5.938
Nd 12.738 0.000 3.092
Te 2.101 0.000 5.248
Te 3.274 0.000 0.812
Te 8.387 0.000 6.645
Te 9.567 0.000 2.385
Te 14.679 0.000 8.218
Te 15.853 0.000 3.782
```

***

No. 4
A plane-wave DFT calculation with PBE was carried out for BaLa2NdTl4 after structural relaxation.

Calculated values
* raw total energy: -3.614 eV per atom
* magnetization: 0.000 μB per formula unit
* formation energy: -363 meV per atom

```
8
Lattice="2.850 1.646 9.366 -2.850 1.646 9.366 0.000 -3.291 9.366" Properties=species:S:1:pos:R:3 pbc="T T T"
Ba 0.000 0.000 0.000
La 0.000 0.000 7.071
La 0.000 0.000 21.028
Nd 0.000 0.000 14.050
Tl 0.000 0.000 3.630
Tl 0.000 0.000 10.743
Tl 0.000 0.000 17.356
Tl 0.000 0.000 24.470
```

***

No. 5
A plane-wave DFT calculation with PBE was carried out for Ba2LaNi after structural relaxation.

Calculated values
* raw total energy: -3.184 eV per atom
* magnetization: 0.000 μB per formula unit
* offset from the most stable computed form: 169 kJ/mol of formula units
* formation energy: 454 meV per atom

```
16
Lattice="8.085 0.000 0.000 0.000 8.085 0.000 0.000 0.000 8.085" Properties=species:S:1:pos:R:3 pbc="T T T"
Ba 0.000 0.000 0.000
Ba 0.000 4.043 4.043
Ba 2.021 2.021 2.021
Ba 2.021 6.064 6.064
Ba 4.043 0.000 4.043
Ba 4.043 4.043 0.000
Ba 6.064 2.021 6.064
Ba 6.064 6.064 2.021
La 2.021 2.021 6.064
La 2.021 6.064 2.021
La 6.064 2.021 2.021
La 6.064 6.064 6.064
Ni 0.000 0.000 4.043
Ni 0.000 4.043 0.000
Ni 4.043 0.000 0.000
Ni 4.043 4.043 4.043
```

***

No. 6
A plane-wave DFT calculation with PBE was carried out for Ba2LaNi after structural relaxation.

Calculated values
* raw total energy: -3.157 eV per atom
* magnetization: 0.001 μB per formula unit
* offset from the most stable computed form: 179 kJ/mol of formula units
* formation energy: 481 meV per atom

```
8
Lattice="4.833 0.000 0.000 0.000 4.833 0.000 0.000 0.000 11.933" Properties=species:S:1:pos:R:3 pbc="T T T"
Ba 0.000 0.000 0.000
Ba 0.000 2.416 2.983
Ba 2.416 0.000 8.950
Ba 2.416 2.416 5.966
La 0.000 2.416 8.950
La 2.416 0.000 2.983
Ni 0.000 0.000 5.966
Ni 2.416 2.416 0.000
```

***

No. 7
A plane-wave DFT calculation with PBE was carried out for Ba2LaNi after structural relaxation.

Calculated values
* raw total energy: -3.191 eV per atom
* magnetization: 0.000 μB per formula unit
* offset from the most stable computed form: 166 kJ/mol of formula units
* formation energy: 447 meV per atom

```
4
Lattice="4.757 0.000 0.000 0.000 4.757 0.000 0.000 0.000 6.020" Properties=species:S:1:pos:R:3 pbc="T T T"
Ba 0.000 2.378 0.000
Ba 2.378 0.000 0.000
La 0.000 0.000 3.010
Ni 2.378 2.378 3.010
```

***

No. 8
A plane-wave DFT calculation with PBE was carried out for Ba2LaNi9 after structural relaxation.

Calculated values
* raw total energy: -5.102 eV per atom
* magnetization: 1.630 μB per formula unit
* formation energy: -35 meV per atom

```
12
Lattice="2.581 1.490 8.586 -2.581 1.490 8.586 0.000 -2.981 8.586" Properties=species:S:1:pos:R:3 pbc="T T T"
Ba 0.000 0.000 3.577
Ba 0.000 0.000 22.182
La 0.000 0.000 0.000
Ni -1.271 -0.734 10.523
Ni 0.000 0.000 8.553
Ni 0.000 -1.468 15.236
Ni -1.271 0.734 15.236
Ni 0.000 0.000 12.880
Ni 1.271 -0.734 10.523
Ni 0.000 1.468 10.523
Ni 0.000 0.000 17.206
Ni 1.271 0.734 15.236
```